DFT (PBE) results for a relaxed NaSbH2 crystal. Values from VASP.

D(E_F): 1.292 states/eV per cell
spin magnetization: 0.0 μB/f.u.
ΔE to the lowest computed polymorph: 0.642 eV per atom

Quantum ESPRESSO input file:
```
&SYSTEM
  ibrav = 0, nat = 4, ntyp = 3
/
ATOMIC_SPECIES
H 1.01 H.upf
Sb 121.76 Sb.upf
Na 22.99 Na.upf
CELL_PARAMETERS angstrom
0.0000 3.0401 3.0401
3.0401 0.0000 3.0401
3.0401 3.0401 0.0000
ATOMIC_POSITIONS angstrom
H 1.5200 1.5200 1.5200
H 4.5601 4.5601 4.5601
Sb 3.0401 3.0401 3.0401
Na 0.0000 0.0000 0.0000
```